This record from the Alexandria database describes an optimized crystal structure of Dy4ScPd. The functional is PBE-GGA.

Cell and atoms, written as CIF:
```
data_Dy4ScPd
_cell_length_a 9.014
_cell_length_b 13.384
_cell_length_c 5.805
_cell_angle_alpha 90.00
_cell_angle_beta 107.54
_cell_angle_gamma 90.00
_symmetry_space_group_name_H-M 'C 1 2/c 1'
_symmetry_Int_Tables_number 15
_symmetry_space_group_name_Hall '-C 2yc'
loop_
_atom_site_label
_atom_site_type_symbol
_atom_site_fract_x
_atom_site_fract_y
_atom_site_fract_z
Dy1 Dy 0.114 0.178 0.065
Dy2 Dy 0.211 0.415 0.350
Sc1 Sc 0.000 0.379 0.750
Pd1 Pd 0.000 0.000 0.250
```

Values from the calculation:
For the density, the calculation gives 7.971 g/cm³. The density of states at the Fermi level comes out at 34.40 states/eV/cell. Its magnetization is 0.0 Bohr magnetons per cell. As for the formation energy: -1.200 eV per formula unit.

This record from the Alexandria database describes an optimized crystal structure of TbPm4Dy2Er2. The functional is PBE-GGA.

Cell and atoms, written as CIF:
```
data_TbPm4Dy2Er2
_cell_length_a 15.222
_cell_length_b 5.063
_cell_length_c 8.010
_cell_angle_alpha 90.00
_cell_angle_beta 108.43
_cell_angle_gamma 90.00
_symmetry_space_group_name_H-M 'C 1 2/m 1'
_symmetry_Int_Tables_number 12
_symmetry_space_group_name_Hall '-C 2y'
loop_
_atom_site_label
_atom_site_type_symbol
_atom_site_fract_x
_atom_site_fract_y
_atom_site_fract_z
Tb1 Tb 0.000 0.000 0.000
Pm1 Pm 0.054 0.500 0.331
Pm2 Pm 0.223 0.000 0.332
Dy1 Dy 0.111 0.000 0.669
Er1 Er 0.167 0.500 0.000
```

Values from the calculation:
For the density, the calculation gives 7.931 g/cm³. The density of states at the Fermi level comes out at 25.93 states/eV/cell. Its magnetization is 0.0 Bohr magnetons per cell. As for the formation energy: 0.170 eV per formula unit.

This record from the Alexandria database describes an optimized crystal structure of CrSb2TeW. The functional is PBE-GGA.

Cell and atoms, written as CIF:
```
data_CrSb2TeW
_cell_length_a 5.267
_cell_length_b 5.267
_cell_length_c 5.347
_cell_angle_alpha 90.00
_cell_angle_beta 90.00
_cell_angle_gamma 90.00
_symmetry_space_group_name_H-M 'P 4/m m m'
_symmetry_Int_Tables_number 123
_symmetry_space_group_name_Hall '-P 4 2'
loop_
_atom_site_label
_atom_site_type_symbol
_atom_site_fract_x
_atom_site_fract_y
_atom_site_fract_z
Cr1 Cr 0.000 0.000 0.000
Sb1 Sb 0.000 0.500 0.500
Te1 Te 0.500 0.500 0.000
W1 W 0.500 0.500 0.500
```

Values from the calculation:
The formation energy (no corrections) comes out at 0.99 eV per atom. For the density, the calculation gives 6.794 g/cm³. As for the polymorph energy (0 for the lowest one): 0.00 kcal/mol of atoms. The density of states at the Fermi level comes out at 4.71 states/eV/cell. Its magnetization is 5.0 Bohr magnetons per cell.

This record from the Alexandria database describes an optimized crystal structure of Rb2HfGaI6. The functional is PBE-GGA.

Cell and atoms, written as CIF:
```
data_Rb2HfGaI6
_cell_length_a 12.148
_cell_length_b 12.148
_cell_length_c 12.148
_cell_angle_alpha 90.00
_cell_angle_beta 90.00
_cell_angle_gamma 90.00
_symmetry_space_group_name_H-M 'F m -3 m'
_symmetry_Int_Tables_number 225
_symmetry_space_group_name_Hall '-F 4 2 3'
loop_
_atom_site_label
_atom_site_type_symbol
_atom_site_fract_x
_atom_site_fract_y
_atom_site_fract_z
Rb1 Rb 0.250 0.250 0.250
Hf1 Hf 0.000 0.000 0.000
Ga1 Ga 0.000 0.000 0.500
I1 I 0.000 0.000 0.238
```

Values from the calculation:
The formation energy (no corrections) comes out at -0.92 eV per atom. For the density, the calculation gives 4.374 g/cm³. The density of states at the Fermi level comes out at 20.52 states/eV/cell. Its magnetization is 4.0 Bohr magnetons per cell.

| no. | total DFT energy (no corrections) (eV/atom) |
| --- | --- |
| 1 | -5.189 |
| 2 | -4.644 |
| 3 | -5.807 |
| 4 | -3.341 |